## Zr3Pa5P8 (PBE-GGA)

Data for a relaxed structure of Zr3Pa5P8.

Lattice parameters (Å, degrees): 7.748 7.748 7.748 60.37 60.37 60.37
Atoms (fractional coordinates):
Zr (0.000, 0.500, 0.500)
Zr (0.500, 0.000, 0.500)
Zr (0.500, 0.500, 0.000)
Pa (0.000, 0.000, 0.000)
Pa (0.000, 0.000, 0.500)
Pa (0.000, 0.500, 0.000)
Pa (0.500, 0.000, 0.000)
Pa (0.500, 0.500, 0.500)
P (0.250, 0.250, 0.740)
P (0.250, 0.740, 0.250)
P (0.254, 0.254, 0.254)
P (0.260, 0.750, 0.750)
P (0.740, 0.250, 0.250)
P (0.746, 0.746, 0.746)
P (0.750, 0.260, 0.750)
P (0.750, 0.750, 0.260)

* total magnetization: 0.00 μB/cell
* total energy: -8.622 eV per atom
* N(E_F): 14.7 states/eV per cell
* calculated formation energy: -1.35 eV per atom